(1)
Compound: Tl3VAg2F9
Source: Alexandria via LeMat-Bulk
Functional: GGA+U
Structure: optimized geometry

POSCAR file:
```
Tl3VAg2F9
1.0
-1.783 -4.025 4.694
6.213 1.484 -0.779
-0.826 5.987 4.820
V Tl F Ag
1 3 9 2
Direct
0.000 0.000 0.500 V
0.667 0.333 0.240 Tl
0.333 0.667 0.760 Tl
0.000 0.000 0.000 Tl
0.861 0.139 0.640 F
0.000 0.500 0.000 F
0.500 0.500 0.000 F
0.500 0.000 0.000 F
0.277 0.139 0.640 F
0.139 0.277 0.360 F
0.723 0.861 0.360 F
0.139 0.861 0.360 F
0.861 0.723 0.640 F
0.667 0.333 0.795 Ag
0.333 0.667 0.205 Ag
```

Properties
Its space-group type is P-3m1 (164).

---

(2)
Compound: TlAgWF6
Source: Alexandria via LeMat-Bulk
Functional: GGA+U
Structure: optimized geometry

POSCAR file:
```
TlAgWF6
1.0
6.279 0.000 0.000
-3.140 5.438 0.000
0.000 0.000 10.605
Tl F Ag W
2 12 2 2
Direct
0.000 0.000 0.000 Tl
0.000 0.000 0.500 Tl
0.943 0.344 0.147 F
0.599 0.656 0.647 F
0.344 0.401 0.853 F
0.344 0.943 0.647 F
0.401 0.344 0.353 F
0.057 0.656 0.853 F
0.401 0.057 0.147 F
0.057 0.401 0.647 F
0.599 0.943 0.853 F
0.656 0.599 0.147 F
0.943 0.599 0.353 F
0.656 0.057 0.353 F
0.667 0.333 0.750 Ag
0.333 0.667 0.250 Ag
0.333 0.667 0.750 W
0.667 0.333 0.250 W
```

Properties
Its space-group type is P-31c (163). The density of states at the Fermi level is 12.8 states/eV per cell.

---

We obtain DFT total energy values of -65.843, -84.713 eV for the cell shown for the records listed above, in that order.
We obtain total magnetization values of 0.998, 4.000 Bohr magnetons per cell for the records listed above, in that order.